The following is a PBE calculation of an optimized crystal structure of Be2InTe, from Alexandria via LeMat-Bulk.

Geometry as CIF:
```
data_Be2InTe
_chemical_formula_sum 'Be2 In1 Te1'
_cell_length_a 3.647
_cell_length_b 3.647
_cell_length_c 6.812
_cell_angle_alpha 75.18
_cell_angle_beta 75.18
_cell_angle_gamma 60.75
_space_group_name_H-M_alt 'P 1'
_space_group_IT_number 1
_space_group_name_Hall 'P 1'
loop_
_atom_site_label
_atom_site_type_symbol
_atom_site_fract_x
_atom_site_fract_y
_atom_site_fract_z
Te1 Te 0.250 0.250 0.250
Be1 Be 0.988 0.988 0.024
Be2 Be 0.512 0.512 0.476
In1 In 0.750 0.750 0.750
```

Output
symmetry: C2/m, No. 12
raw formation energy: 1.6 eV/f.u.
energy above the lowest structure with this stoichiometry: 0.095 eV/atom
VASP energy: -2.931 eV per atom